# NbAlFeHg | OQMD | PBE | optimized geometry
# symmetry = F-43m (216)
# total energy = -0.1947 hartree per atom
data_NbAlFeHg
_chemical_formula_sum 'Nb1 Al1 Fe1 Hg1'
_symmetry_space_group_name_H-M 'P 1'
_symmetry_Int_Tables_number 1
_cell_length_a 4.541
_cell_length_b 4.541
_cell_length_c 4.541
_cell_angle_alpha 60.00
_cell_angle_beta 60.00
_cell_angle_gamma 60.00
loop_
_symmetry_equiv_pos_as_xyz
'x,y,z'
loop_
_atom_site_label
_atom_site_type_symbol
_atom_site_fract_x
_atom_site_fract_y
_atom_site_fract_z
_atom_site_occupancy
Al1 Al 0.000 0.000 0.000 1
Fe1 Fe 0.750 0.750 0.750 1
Hg1 Hg 0.500 0.500 0.500 1
Nb1 Nb 0.250 0.250 0.250 1